# PBE Mn5Rh, optimized geometry
# Formation energy from the elements: 0.33 eV/atom
# Energy relative to the lowest polymorph listed for this composition: 0.385 eV per atom
data_Mn5Rh
_chemical_formula_sum 'Mn5 Rh1'
_space_group_name_H-M_alt 'P 1'
_space_group_IT_number 1
_space_group_name_Hall 'P 1'
_cell_length_a 4.632
_cell_length_b 4.632
_cell_length_c 3.929
_cell_angle_alpha 90.00
_cell_angle_beta 90.00
_cell_angle_gamma 120.00
loop_
_atom_site_label
_atom_site_type_symbol
_atom_site_fract_x
_atom_site_fract_y
_atom_site_fract_z
Mn1 Mn 0.500 0.500 0.500
Mn2 Mn 0.667 0.333 0.000
Mn3 Mn 0.333 0.667 0.000
Mn4 Mn 0.500 0.000 0.500
Mn5 Mn 0.000 0.500 0.500
Rh1 Rh 0.000 0.000 0.000

---

# PBE Li3Mn, optimized geometry
# Formation energy from the elements: 0.23 eV/atom
data_Li3Mn
_chemical_formula_sum 'Li3 Mn1'
_space_group_name_H-M_alt 'P 1'
_space_group_IT_number 1
_space_group_name_Hall 'P 1'
_cell_length_a 9.916
_cell_length_b 9.916
_cell_length_c 9.916
_cell_angle_alpha 16.15
_cell_angle_beta 16.15
_cell_angle_gamma 16.15
loop_
_atom_site_label
_atom_site_type_symbol
_atom_site_fract_x
_atom_site_fract_y
_atom_site_fract_z
Li1 Li 0.745 0.745 0.745
Li2 Li 0.255 0.255 0.255
Li3 Li 0.500 0.500 0.500
Mn1 Mn 0.000 0.000 0.000

---

# PBE Sr2CuGe3Pd4, optimized geometry
# Formation energy from the elements: -0.63 eV/atom
data_Sr2CuGe3Pd4
_chemical_formula_sum 'Sr2 Cu1 Ge3 Pd4'
_space_group_name_H-M_alt 'P 1'
_space_group_IT_number 1
_space_group_name_Hall 'P 1'
_cell_length_a 4.442
_cell_length_b 4.442
_cell_length_c 10.156
_cell_angle_alpha 90.00
_cell_angle_beta 90.00
_cell_angle_gamma 90.00
loop_
_atom_site_label
_atom_site_type_symbol
_atom_site_fract_x
_atom_site_fract_y
_atom_site_fract_z
Pd1 Pd 0.000 0.000 0.000
Pd2 Pd 0.500 0.000 0.628
Pd3 Pd 0.500 0.500 0.000
Pd4 Pd 0.000 0.500 0.372
Ge1 Ge 0.500 0.000 0.877
Ge2 Ge 0.000 0.500 0.123
Ge3 Ge 0.000 0.000 0.500
Sr1 Sr 0.500 0.000 0.256
Sr2 Sr 0.000 0.500 0.744
Cu1 Cu 0.500 0.500 0.500

---

# PBE HfTaCd2O, optimized geometry
# Total energy: -5.8448 eV/atom
data_HfTaCd2O
_chemical_formula_sum 'Hf1 Ta1 Cd2 O1'
_space_group_name_H-M_alt 'P 1'
_space_group_IT_number 1
_space_group_name_Hall 'P 1'
_cell_length_a 4.902
_cell_length_b 3.968
_cell_length_c 4.902
_cell_angle_alpha 90.00
_cell_angle_beta 90.00
_cell_angle_gamma 90.00
loop_
_atom_site_label
_atom_site_type_symbol
_atom_site_fract_x
_atom_site_fract_y
_atom_site_fract_z
Cd1 Cd 0.500 0.000 0.000
Cd2 Cd 0.000 0.000 0.500
Ta1 Ta 0.000 0.500 0.000
O1 O 0.000 0.000 0.000
Hf1 Hf 0.500 0.500 0.500

---

# PBE Ba2TlTcN, optimized geometry
# Total energy: -5.1651 eV/atom
data_Ba2TlTcN
_chemical_formula_sum 'Ba2 Tl1 Tc1 N1'
_space_group_name_H-M_alt 'P 1'
_space_group_IT_number 1
_space_group_name_Hall 'P 1'
_cell_length_a 5.930
_cell_length_b 5.930
_cell_length_c 3.917
_cell_angle_alpha 90.00
_cell_angle_beta 90.00
_cell_angle_gamma 90.00
loop_
_atom_site_label
_atom_site_type_symbol
_atom_site_fract_x
_atom_site_fract_y
_atom_site_fract_z
Ba1 Ba 0.500 0.000 0.000
Ba2 Ba 0.000 0.500 0.000
N1 N 0.000 0.000 0.000
Tl1 Tl 0.500 0.500 0.500
Tc1 Tc 0.000 0.000 0.500

---

# PBE Ho2BeB10, optimized geometry
# Formation energy from the elements: -0.45 eV/atom
data_Ho2BeB10
_chemical_formula_sum 'Ho4 Be2 B20'
_space_group_name_H-M_alt 'P 1'
_space_group_IT_number 1
_space_group_name_Hall 'P 1'
_cell_length_a 4.114
_cell_length_b 5.527
_cell_length_c 10.907
_cell_angle_alpha 90.00
_cell_angle_beta 90.00
_cell_angle_gamma 90.00
loop_
_atom_site_label
_atom_site_type_symbol
_atom_site_fract_x
_atom_site_fract_y
_atom_site_fract_z
B1 B 0.700 0.695 0.389
B2 B 0.000 0.628 0.960
B3 B 0.300 0.195 0.111
B4 B 0.000 0.372 0.040
B5 B 0.000 0.128 0.540
B6 B 0.000 0.333 0.198
B7 B 0.700 0.805 0.889
B8 B 0.000 0.833 0.302
B9 B 0.700 0.305 0.611
B10 B 0.700 0.195 0.111
B11 B 0.300 0.305 0.611
B12 B 0.000 0.872 0.460
B13 B 0.000 0.522 0.315
B14 B 0.000 0.022 0.185
B15 B 0.300 0.695 0.389
B16 B 0.000 0.167 0.698
B17 B 0.300 0.805 0.889
B18 B 0.000 0.667 0.802
B19 B 0.000 0.478 0.685
B20 B 0.000 0.978 0.815
Be1 Be 0.000 0.500 0.500
Be2 Be 0.000 0.000 0.000
Ho1 Ho 0.500 0.694 0.134
Ho2 Ho 0.500 0.806 0.634
Ho3 Ho 0.500 0.194 0.366
Ho4 Ho 0.500 0.306 0.866

---

# PBE LiSiMo2, optimized geometry
# Total energy: -7.0476 eV/atom
data_LiSiMo2
_chemical_formula_sum 'Li1 Si1 Mo2'
_space_group_name_H-M_alt 'P 1'
_space_group_IT_number 1
_space_group_name_Hall 'P 1'
_cell_length_a 4.534
_cell_length_b 4.534
_cell_length_c 2.699
_cell_angle_alpha 90.00
_cell_angle_beta 90.00
_cell_angle_gamma 90.00
loop_
_atom_site_label
_atom_site_type_symbol
_atom_site_fract_x
_atom_site_fract_y
_atom_site_fract_z
Mo1 Mo 0.000 0.000 0.000
Mo2 Mo 0.500 0.500 0.000
Si1 Si 0.500 0.000 0.500
Li1 Li 0.000 0.500 0.500

---

# PBE DyAl2Pd2Au, optimized geometry
# Formation energy from the elements: -0.36 eV/atom
data_DyAl2Pd2Au
_chemical_formula_sum 'Dy1 Al2 Pd2 Au1'
_space_group_name_H-M_alt 'P 1'
_space_group_IT_number 1
_space_group_name_Hall 'P 1'
_cell_length_a 4.711
_cell_length_b 4.711
_cell_length_c 5.628
_cell_angle_alpha 90.00
_cell_angle_beta 90.00
_cell_angle_gamma 90.00
loop_
_atom_site_label
_atom_site_type_symbol
_atom_site_fract_x
_atom_site_fract_y
_atom_site_fract_z
Pd1 Pd 0.500 0.500 0.255
Pd2 Pd 0.500 0.500 0.745
Al1 Al 0.500 0.000 0.000
Al2 Al 0.000 0.500 0.000
Dy1 Dy 0.000 0.000 0.500
Au1 Au 0.000 0.000 0.000